Entry 1:
# KSrNbB2 | the Alexandria database | GGA-PBE | relaxed
data_KSrNbB2
_chemical_formula_sum 'K1 Sr1 Nb1 B2'
_cell_length_a 4.839
_cell_length_b 4.839
_cell_length_c 5.100
_cell_angle_alpha 90.00
_cell_angle_beta 90.00
_cell_angle_gamma 90.00
_symmetry_space_group_name_H-M 'P 4/m m m'
_symmetry_Int_Tables_number 123
_symmetry_space_group_name_Hall '-P 4 2'
loop_
_atom_site_label
_atom_site_type_symbol
_atom_site_fract_x
_atom_site_fract_y
_atom_site_fract_z
K1 K 0.000 0.000 0.000
Sr1 Sr 0.000 0.000 0.500
Nb1 Nb 0.500 0.500 0.000
B1 B 0.000 0.500 0.500
# ΔE_f: 13.40 eV per formula unit

Entry 2:
# K3NdB2O6 | the Alexandria database | GGA-PBE | relaxed
data_K3NdB2O6
_chemical_formula_sum 'K3 Nd1 B2 O6'
_cell_length_a 5.6667
_cell_length_b 5.6667
_cell_length_c 7.0055
_cell_angle_alpha 90.00
_cell_angle_beta 90.00
_cell_angle_gamma 120.00
_symmetry_space_group_name_H-M 'P -3 m 1'
_symmetry_Int_Tables_number 164
_symmetry_space_group_name_Hall '-P 3 2"'
loop_
_atom_site_label
_atom_site_type_symbol
_atom_site_fract_x
_atom_site_fract_y
_atom_site_fract_z
K1 K 0.0000 0.0000 0.0000
K2 K 0.3333 0.6667 0.7475
Nd1 Nd 0.0000 0.0000 0.5000
B1 B 0.3333 0.6667 0.2904
O1 O 0.1912 0.3823 0.2913
# E above lowest polymorph: 12.1 meV/atom

Entry 3:
# K3NdB2O6 | the Alexandria database | GGA-PBE | relaxed
data_K3NdB2O6
_chemical_formula_sum 'K12 Nd4 B8 O24'
_cell_length_a 9.157
_cell_length_b 7.261
_cell_length_c 11.344
_cell_angle_alpha 90.00
_cell_angle_beta 90.00
_cell_angle_gamma 90.00
_symmetry_space_group_name_H-M 'P n m a'
_symmetry_Int_Tables_number 62
loop_
_symmetry_equiv_pos_as_xyz
'x,y,z'
'-x,-y,-z'
'-x+1/2,-y,z+1/2'
'x+1/2,y,-z+1/2'
'x+1/2,-y+1/2,-z+1/2'
'-x+1/2,y+1/2,z+1/2'
'-x,y+1/2,-z'
'x,-y+1/2,z'
loop_
_atom_site_label
_atom_site_type_symbol
_atom_site_fract_x
_atom_site_fract_y
_atom_site_fract_z
K1 K 0.060 0.250 0.131
K2 K 0.199 0.001 0.405
Nd1 Nd 0.127 0.250 0.669
B1 B 0.062 0.750 0.125
B2 B 0.088 0.750 0.616
O1 O 0.008 0.750 0.511
O2 O 0.088 0.250 0.886
O3 O 0.120 0.750 0.241
O4 O 0.127 0.583 0.669
O5 O 0.159 0.750 0.032
# E above lowest polymorph: 0.0 meV/atom

Entry 4:
First-principles (GGA-PBE) data for a relaxed structure of K2NdB2O6, as listed in the Alexandria database.

CIF file:
```
data_K2NdB2O6
_chemical_formula_sum 'K2 Nd1 B2 O6'
_cell_length_a 5.7124
_cell_length_b 5.7124
_cell_length_c 6.5483
_cell_angle_alpha 90.00
_cell_angle_beta 90.00
_cell_angle_gamma 120.00
_symmetry_space_group_name_H-M 'P -3 m 1'
_symmetry_Int_Tables_number 164
_symmetry_space_group_name_Hall '-P 3 2"'
loop_
_atom_site_label
_atom_site_type_symbol
_atom_site_fract_x
_atom_site_fract_y
_atom_site_fract_z
K1 K 0.3333 0.6667 0.3271
Nd1 Nd 0.0000 0.0000 0.0000
B1 B 0.3333 0.6667 0.7942
O1 O 0.1943 0.3885 0.7896
```

Entry 5:
First-principles (GGA-PBE) data for a relaxed structure of K2NdBO4, as listed in the Alexandria database.

CIF file:
```
data_K2NdBO4
_chemical_formula_sum 'K16 Nd8 B8 O32'
_cell_length_a 5.283
_cell_length_b 11.308
_cell_length_c 24.420
_cell_angle_alpha 90.00
_cell_angle_beta 90.00
_cell_angle_gamma 90.00
_symmetry_space_group_name_H-M 'F d d d'
_symmetry_Int_Tables_number 70
loop_
_symmetry_equiv_pos_as_xyz
'x,y,z'
'-x,-y,-z'
'-x+1/4,-y+1/4,z'
'x+1/4,y+1/4,-z'
'x,-y+1/4,-z+1/4'
'-x,y+1/4,z+1/4'
'-x+1/4,y,-z+1/4'
'x+1/4,-y,z+1/4'
'x,y+1/2,z+1/2'
'-x,-y+1/2,-z+1/2'
'-x+1/4,-y+3/4,z+1/2'
'x+1/4,y+3/4,-z+1/2'
'x,-y+3/4,-z+3/4'
'-x,y+3/4,z+3/4'
'-x+1/4,y+1/2,-z+3/4'
'x+1/4,-y+1/2,z+3/4'
'x+1/2,y,z+1/2'
'-x+1/2,-y,-z+1/2'
'-x+3/4,-y+1/4,z+1/2'
'x+3/4,y+1/4,-z+1/2'
'x+1/2,-y+1/4,-z+3/4'
'-x+1/2,y+1/4,z+3/4'
'-x+3/4,y,-z+3/4'
'x+3/4,-y,z+3/4'
'x+1/2,y+1/2,z'
'-x+1/2,-y+1/2,-z'
'-x+3/4,-y+3/4,z'
'x+3/4,y+3/4,-z'
'x+1/2,-y+3/4,-z+1/4'
'-x+1/2,y+3/4,z+1/4'
'-x+3/4,y+1/2,-z+1/4'
'x+3/4,-y+1/2,z+1/4'
loop_
_atom_site_label
_atom_site_type_symbol
_atom_site_fract_x
_atom_site_fract_y
_atom_site_fract_z
K1 K 0.125 0.125 0.315
Nd1 Nd 0.125 0.125 0.125
B1 B 0.125 0.125 0.625
O1 O 0.035 0.292 0.839
```

Entry 6:
First-principles (GGA-PBE) data for a relaxed structure of KNd2B2S6, as listed in the Alexandria database.

CIF file:
```
data_KNd2B2S6
_chemical_formula_sum 'K1 Nd2 B2 S6'
_cell_length_a 5.947
_cell_length_b 5.950
_cell_length_c 8.504
_cell_angle_alpha 91.69
_cell_angle_beta 91.85
_cell_angle_gamma 106.00
_symmetry_space_group_name_H-M 'P -1'
_symmetry_Int_Tables_number 2
loop_
_symmetry_equiv_pos_as_xyz
'x,y,z'
'-x,-y,-z'
loop_
_atom_site_label
_atom_site_type_symbol
_atom_site_fract_x
_atom_site_fract_y
_atom_site_fract_z
K1 K 0.000 0.000 0.000
Nd1 Nd 0.252 0.748 0.500
B1 B 0.259 0.258 0.660
S1 S 0.094 0.430 0.759
S2 S 0.245 0.246 0.440
S3 S 0.430 0.092 0.759
```

| no. | calculated total energy (eV per atom) | magnetic moment (μB/f.u.) |
| --- | --- | --- |
| 1 | -2.561 | 0.6 |
| 2 | -6.711 | 0.0 |
| 3 | -6.724 | 0.0 |
| 4 | -6.941 | 1.0 |
| 5 | -6.111 | 0.0 |
| 6 | -5.685 | 0.0 |